(1)
# La4Ce3ErAs8, optimized geometry, DFT PBE-GGA
data_La4Ce3ErAs8
_chemical_formula_sum 'La12 Ce9 Er3 As24'
_cell_length_a 8.5563
_cell_length_b 8.5563
_cell_length_c 21.0162
_cell_angle_alpha 90.00
_cell_angle_beta 90.00
_cell_angle_gamma 120.00
_space_group_name_H-M_alt 'R -3 m'
_space_group_IT_number 166
_space_group_name_Hall '-R 3 2"'
loop_
_atom_site_label
_atom_site_fract_x
_atom_site_fract_y
_atom_site_fract_z
La1 0.0000 0.0000 0.0000
La2 0.0000 0.5000 0.0000
Ce1 0.0000 0.5000 0.5000
Er1 0.0000 0.0000 0.5000
As1 0.0000 0.0000 0.2465
As2 0.0024 0.5012 0.2458
# size of the total moment: 1.9 μB/f.u.
# DOS at the Fermi energy: 1.07 states/eV/atom
# E_form: -1.51 eV per atom

(2)
# TiCd2Se, optimized geometry, DFT PBE-GGA
data_TiCd2Se
_chemical_formula_sum 'Ti4 Cd8 Se4'
_cell_length_a 8.214
_cell_length_b 8.214
_cell_length_c 5.358
_cell_angle_alpha 90.00
_cell_angle_beta 90.00
_cell_angle_gamma 90.00
_space_group_name_H-M_alt 'I -4 2 d'
_space_group_IT_number 122
_space_group_name_Hall 'I -4 2bw'
loop_
_atom_site_label
_atom_site_fract_x
_atom_site_fract_y
_atom_site_fract_z
Ti1 0.000 0.000 0.000
Cd1 0.228 0.750 0.625
Se1 0.000 0.000 0.500
# size of the total moment: 1.8 μB/f.u.
# DOS at the Fermi energy: 0.88 states/eV/atom
# E_form (uncorrected): 0.0 eV per formula unit

(3)
# KTa2ZnMo, optimized geometry, DFT PBE-GGA
data_KTa2ZnMo
_chemical_formula_sum 'K1 Ta2 Zn1 Mo1'
_cell_length_a 4.869
_cell_length_b 4.869
_cell_length_c 5.347
_cell_angle_alpha 90.00
_cell_angle_beta 90.00
_cell_angle_gamma 90.00
_space_group_name_H-M_alt 'P 4/m m m'
_space_group_IT_number 123
_space_group_name_Hall '-P 4 2'
loop_
_atom_site_label
_atom_site_fract_x
_atom_site_fract_y
_atom_site_fract_z
K1 0.000 0.000 0.000
Ta1 0.000 0.500 0.500
Zn1 0.500 0.500 0.000
Mo1 0.500 0.500 0.500
# size of the total moment: 0.0 μB/f.u.
# DOS at the Fermi energy: 0.94 states/eV/atom
# E_form: 1.22 eV per atom

(4)
# Na2AgSb2, optimized geometry, DFT PBE-GGA
data_Na2AgSb2
_chemical_formula_sum 'Na4 Ag2 Sb4'
_cell_length_a 7.354
_cell_length_b 7.354
_cell_length_c 5.061
_cell_angle_alpha 90.00
_cell_angle_beta 90.00
_cell_angle_gamma 90.00
_space_group_name_H-M_alt 'P 4/m b m'
_space_group_IT_number 127
_space_group_name_Hall '-P 4 2ab'
loop_
_atom_site_label
_atom_site_fract_x
_atom_site_fract_y
_atom_site_fract_z
Na1 0.167 0.333 0.000
Ag1 0.000 0.000 0.500
Sb1 0.141 0.641 0.500
# size of the total moment: 0.0 μB/f.u.
# DOS at the Fermi energy: 0.33 states/eV/atom
# E_form (uncorrected): -1.3 eV per formula unit
# excess energy over the best structure of this formula in the dataset: 10 meV per atom

(5)
# Tb2Tl2SbS6, optimized geometry, DFT PBE-GGA
data_Tb2Tl2SbS6
_chemical_formula_sum 'Tb4 Tl4 Sb2 S12'
_cell_length_a 6.927
_cell_length_b 11.926
_cell_length_c 7.909
_cell_angle_alpha 90.00
_cell_angle_beta 107.90
_cell_angle_gamma 90.00
_space_group_name_H-M_alt 'C 1 2/m 1'
_space_group_IT_number 12
loop_
_space_group_symop_operation_xyz
'x,y,z'
'-x,-y,-z'
'-x,y,-z'
'x,-y,z'
'x+1/2,y+1/2,z'
'-x+1/2,-y+1/2,-z'
'-x+1/2,y+1/2,-z'
'x+1/2,-y+1/2,z'
loop_
_atom_site_label
_atom_site_fract_x
_atom_site_fract_y
_atom_site_fract_z
Tb1 0.000 0.167 0.000
Tl1 0.000 0.326 0.500
Sb1 0.000 0.500 0.000
S1 0.230 0.339 0.196
S2 0.249 0.000 0.195
# size of the total moment: 0.0 μB/f.u.
# DOS at the Fermi energy: 0.41 states/eV/atom
# E_form (uncorrected): -12.0 eV per formula unit

(6)
# Mg2MoPd, optimized geometry, DFT PBE-GGA
data_Mg2MoPd
_chemical_formula_sum 'Mg8 Mo4 Pd4'
_cell_length_a 7.249
_cell_length_b 7.249
_cell_length_c 5.513
_cell_angle_alpha 90.00
_cell_angle_beta 90.00
_cell_angle_gamma 90.00
_space_group_name_H-M_alt 'I -4 2 d'
_space_group_IT_number 122
_space_group_name_Hall 'I -4 2bw'
loop_
_atom_site_label
_atom_site_fract_x
_atom_site_fract_y
_atom_site_fract_z
Mg1 0.227 0.250 0.125
Mo1 0.000 0.000 0.500
Pd1 0.000 0.000 0.000
# size of the total moment: 0.0 μB/f.u.
# DOS at the Fermi energy: 1.07 states/eV/atom
# excess energy over the best structure of this formula in the dataset: 327 meV per atom
# E_form: 0.48 eV per atom

Please write out number 1 again, unchanged.
# La4Ce3ErAs8, optimized geometry, DFT PBE-GGA
data_La4Ce3ErAs8
_chemical_formula_sum 'La12 Ce9 Er3 As24'
_cell_length_a 8.5563
_cell_length_b 8.5563
_cell_length_c 21.0162
_cell_angle_alpha 90.00
_cell_angle_beta 90.00
_cell_angle_gamma 120.00
_space_group_name_H-M_alt 'R -3 m'
_space_group_IT_number 166
_space_group_name_Hall '-R 3 2"'
loop_
_atom_site_label
_atom_site_fract_x
_atom_site_fract_y
_atom_site_fract_z
La1 0.0000 0.0000 0.0000
La2 0.0000 0.5000 0.0000
Ce1 0.0000 0.5000 0.5000
Er1 0.0000 0.0000 0.5000
As1 0.0000 0.0000 0.2465
As2 0.0024 0.5012 0.2458
# size of the total moment: 1.9 μB/f.u.
# DOS at the Fermi energy: 1.07 states/eV/atom
# E_form: -1.51 eV per atom